## V3PtCl (PBE-GGA)

Data for a relaxed structure of V3PtCl.

Cell: 4.872 4.872 4.872 Å, 90.00 90.00 90.00°
Sites, in units of the cell vectors:
V 0.000 0.500 0.000
V 0.000 0.000 0.500
V 0.500 0.000 0.000
Pt 0.000 0.000 0.000
Cl 0.500 0.500 0.500

ρ	5.51	g/cm³
energy relative to the elements, uncorrected	0.916	eV/atom
spin magnetization	1.511	μB per atom
symmetry	Pm-3m
energy above the most stable polymorph in this dataset	0.5615	eV per atom